No. 1
{"formula": "Pu3Tl3HgSe8", "functional": "GGA-PBE", "state": "optimized geometry", "magmom_total_mub_per_fu": 4.5, "rho_g_cm3": 7.8, "total_energy_ev_per_atom": -6.062, "sg": "C2/m (12)", "lattice_angstrom": [[-2.0695, -2.7220, 7.8975], [7.8853, 0.7386, -2.3681], [-4.3936, 7.6514, 1.4859]], "species": ["Pu", "Pu", "Pu", "Tl", "Tl", "Tl", "Hg", "Se", "Se", "Se", "Se", "Se", "Se", "Se", "Se"], "frac_coords": [[0.5000, 0.0000, 0.5000], [0.5000, 0.5000, 0.5000], [0.0000, 0.5000, 0.5000], [0.0000, 0.0000, 0.0000], [0.0000, 0.5000, 0.0000], [0.5000, 0.5000, 0.0000], [0.0000, 0.0000, 0.5000], [0.2623, 0.5245, 0.2938], [0.7377, 0.4755, 0.7062], [0.7820, 0.5641, 0.3094], [0.2180, 0.4359, 0.6906], [0.7418, 0.0394, 0.2820], [0.2582, 0.9606, 0.7180], [0.2977, 0.0394, 0.2820], [0.7023, 0.9606, 0.7180]]}

No. 2
{"formula": "CsGe2P2", "functional": "GGA-PBE", "state": "optimized geometry", "magmom_total_mub_per_fu": 0.2, "e_form_mev_per_atom": 204, "rho_g_cm3": 4.3, "polymorph_energy_ev_per_atom": 0.329, "total_energy_ev_per_atom": -3.977, "sg": "P4/mbm (127)", "lattice_angstrom": [[8.7628, 0.0000, 0.0000], [0.0000, 8.7628, 0.0000], [0.0000, 0.0000, 3.4374]], "species": ["Cs", "Cs", "Ge", "Ge", "Ge", "Ge", "P", "P", "P", "P"], "frac_coords": [[0.0000, 0.0000, 0.0000], [0.5000, 0.5000, 0.0000], [0.8902, 0.3902, 0.0000], [0.6098, 0.8902, 0.0000], [0.1098, 0.6098, 0.0000], [0.3902, 0.1098, 0.0000], [0.6228, 0.1228, 0.5000], [0.8772, 0.6228, 0.5000], [0.3772, 0.8772, 0.5000], [0.1228, 0.3772, 0.5000]]}

No. 3
{"formula": "Li5CaIn", "functional": "GGA-PBE", "state": "optimized geometry", "magmom_total_mub_per_fu": 0.0, "e_form_mev_per_atom": -67, "rho_g_cm3": 1.9, "total_energy_ev_per_atom": -2.111, "sg": "P4/mmm (123)", "lattice_angstrom": [[-1.5548, 2.7254, 2.5129], [-2.0217, -2.9075, 1.9024], [7.8842, -1.3396, 6.3311]], "species": ["Li", "Li", "Li", "Li", "Li", "Ca", "In"], "frac_coords": [[0.0000, 0.5000, 0.2188], [0.0000, 0.5000, 0.7812], [0.5000, 0.0000, 0.2188], [0.5000, 0.0000, 0.7812], [0.0000, 0.0000, 0.0000], [0.0000, 0.0000, 0.5000], [0.5000, 0.5000, 0.0000]]}

No. 4
{"formula": "YNi2Pd2", "functional": "GGA-PBE", "state": "optimized geometry", "magmom_total_mub_per_fu": 1.0, "e_form_mev_per_atom": -333, "rho_g_cm3": 8.3, "polymorph_energy_ev_per_atom": 0.000, "total_energy_ev_per_atom": -6.016, "sg": "I4/mmm (139)", "lattice_angstrom": [[3.9547, 0.0000, 0.0000], [0.0000, 3.9547, 0.0000], [1.9773, 1.9773, 5.3549]], "species": ["Y", "Ni", "Ni", "Pd", "Pd"], "frac_coords": [[0.0000, 0.0000, 0.0000], [0.3978, 0.3978, 0.2044], [0.6022, 0.6022, 0.7956], [0.7500, 0.2500, 0.5000], [0.2500, 0.7500, 0.5000]]}

No. 5
{"formula": "CePuFe", "functional": "GGA-PBE", "state": "optimized geometry", "magmom_total_mub_per_fu": 6.7, "e_form_mev_per_atom": 640, "rho_g_cm3": 11.3, "polymorph_energy_ev_per_atom": 0.583, "total_energy_ev_per_atom": -8.936, "sg": "I4mm (107)", "lattice_angstrom": [[2.9059, 0.0000, 0.0000], [0.0000, 2.9059, 0.0000], [-1.4529, -1.4529, 7.6776]], "species": ["Fe", "Ce", "Pu"], "frac_coords": [[0.3249, 0.3249, 0.6498], [0.1832, 0.1832, 0.3664], [0.4919, 0.4919, 0.9838]]}

No. 6
{"formula": "KIn2AgHg", "functional": "GGA-PBE", "state": "optimized geometry", "magmom_total_mub_per_fu": 0.0, "e_form_mev_per_atom": 53, "rho_g_cm3": 5.8, "total_energy_ev_per_atom": -1.893, "sg": "P4/mmm (123)", "lattice_angstrom": [[5.4331, 0.0000, 0.0000], [0.0000, 5.4331, 0.0000], [0.0000, 0.0000, 5.5646]], "species": ["K", "Hg", "Ag", "In", "In"], "frac_coords": [[0.5000, 0.5000, 0.5000], [0.0000, 0.0000, 0.5000], [0.0000, 0.0000, 0.0000], [0.0000, 0.5000, 0.0000], [0.5000, 0.0000, 0.0000]]}